[1]
This record from Alexandria via LeMat-Bulk describes a geometry-optimized TePdIO structure. The functional is GGA-PBE.

- E_form (uncorrected): -0.310 eV/atom
- V: 105 Å³/f.u.
- Total moment: 0.000 μB per atom
- Symmetry: Cm, No. 8
- Excess energy over the best structure of this formula in the dataset: 7 kJ/mol of formula units
- Density of states at the Fermi level: 2.38 states/eV per cell

Unit cell a=4.138 b=4.138 c=7.457 alpha=90.07 beta=73.93 gamma=60.02
Atoms (fractional coordinates):
Te 0.679 0.428 0.199
Pd 0.230 0.153 0.374
I 0.745 0.896 0.602
O 0.852 0.341 0.937

[2]
This record from Alexandria via LeMat-Bulk describes a geometry-optimized TePdIO structure. The functional is GGA-PBE.

- E_form (uncorrected): -0.322 eV/atom
- V: 101 Å³/f.u.
- Total moment: 0.000 μB per atom
- Symmetry: Cm, No. 8
- Excess energy over the best structure of this formula in the dataset: 2 kJ/mol of formula units
- Density of states at the Fermi level: 2.51 states/eV per cell

Unit cell a=3.923 b=4.465 c=6.662 alpha=103.04 beta=90.04 gamma=116.04
Atoms (fractional coordinates):
Te 0.105 0.994 0.792
Pd 0.734 0.252 0.053
I 0.476 0.734 0.268
O 0.866 0.514 0.776

[3]
This record from Alexandria via LeMat-Bulk describes a geometry-optimized TePdIO structure. The functional is GGA-PBE.

- E_form (uncorrected): -0.312 eV/atom
- V: 103 Å³/f.u.
- Total moment: 0.000 μB per atom
- Symmetry: P3m1, No. 156
- Excess energy over the best structure of this formula in the dataset: 6 kJ/mol of formula units
- Density of states at the Fermi level: 2.47 states/eV per cell

Unit cell a=4.143 b=4.143 c=6.956 alpha=90.00 beta=90.00 gamma=120.00
Atoms (fractional coordinates):
Te 0.667 0.333 0.198
Pd 0.333 0.667 0.376
I 0.000 0.000 0.606
O 0.667 0.333 0.932

[4]
This record from Alexandria via LeMat-Bulk describes a geometry-optimized Te2PdIO structure. The functional is GGA-PBE.

- E_form (uncorrected): 0.407 eV/atom
- V: 114 Å³/f.u.
- Total moment: 0.000 μB per atom
- Symmetry: P4/mmm, No. 123
- Excess energy over the best structure of this formula in the dataset: 38 kJ/mol of formula units
- Density of states at the Fermi level: 6.10 states/eV per cell

Unit cell a=5.157 b=4.286 c=5.157 alpha=90.00 beta=90.00 gamma=90.00
Atoms (fractional coordinates):
I 0.500 0.500 0.500
Te 0.000 0.000 0.500
Te 0.500 0.000 0.000
O 0.000 0.000 0.000
Pd 0.000 0.500 0.000

[5]
This record from Alexandria via LeMat-Bulk describes a geometry-optimized Te2PdIO structure. The functional is GGA-PBE.

- E_form (uncorrected): 0.328 eV/atom
- V: 138 Å³/f.u.
- Total moment: 0.000 μB per atom
- Symmetry: P4/mmm, No. 123
- Excess energy over the best structure of this formula in the dataset: 0 kJ/mol of formula units
- Density of states at the Fermi level: 5.82 states/eV per cell

Unit cell a=4.377 b=4.377 c=7.226 alpha=90.00 beta=90.00 gamma=90.00
Atoms (fractional coordinates):
I 0.000 0.000 0.500
Te 0.000 0.500 0.000
Te 0.500 0.000 0.000
O 0.000 0.000 0.000
Pd 0.500 0.500 0.500

[6]
This record from Alexandria via LeMat-Bulk describes a geometry-optimized Te2PdIO structure. The functional is GGA-PBE.

- E_form (uncorrected): 0.856 eV/atom
- V: 148 Å³/f.u.
- Total moment: 0.000 μB per atom
- Symmetry: P4/mmm, No. 123
- Excess energy over the best structure of this formula in the dataset: 255 kJ/mol of formula units
- Density of states at the Fermi level: 11.95 states/eV per cell

Unit cell a=5.250 b=5.250 c=5.385 alpha=90.00 beta=90.00 gamma=90.00
Atoms (fractional coordinates):
I 0.000 0.000 0.500
Te 0.000 0.500 0.000
Te 0.500 0.000 0.000
O 0.500 0.500 0.500
Pd 0.000 0.000 0.000

[7]
This record from Alexandria via LeMat-Bulk describes a geometry-optimized TePdIO2 structure. The functional is GGA-PBE.

- E_form (uncorrected): -0.228 eV/atom
- V: 108 Å³/f.u.
- Total moment: 0.000 μB per atom
- Symmetry: P4/mmm, No. 123
- Excess energy over the best structure of this formula in the dataset: 0 kJ/mol of formula units
- Density of states at the Fermi level: 2.20 states/eV per cell

Unit cell a=3.989 b=3.989 c=6.763 alpha=90.00 beta=90.00 gamma=90.00
Atoms (fractional coordinates):
I 0.000 0.000 0.500
Te 0.000 0.000 0.000
O 0.000 0.500 0.000
O 0.500 0.000 0.000
Pd 0.500 0.500 0.500

[8]
This record from Alexandria via LeMat-Bulk describes a geometry-optimized TePdIO structure. The functional is GGA-PBE.

- E_form (uncorrected): -0.113 eV/atom
- V: 95 Å³/f.u.
- Total moment: 0.000 μB per atom
- Symmetry: P1, No. 1
- Excess energy over the best structure of this formula in the dataset: 83 kJ/mol of formula units
- Density of states at the Fermi level: 1.80 states/eV per cell

Unit cell a=3.837 b=3.850 c=7.550 alpha=97.75 beta=96.80 gamma=118.56
Atoms (fractional coordinates):
Te 0.557 0.235 0.495
Pd 0.979 0.987 0.680
I 0.441 0.941 0.089
O 0.366 0.726 0.807